Density functional theory data (GGA-PBE) for a relaxed Tb7Nd3Y2 crystal.

For the density of states at the Fermi level, the calculation gives 1.283 states/eV per atom. Its space group is P2/m, No. 10. Its total energy is -4.88 eV/atom. The energy of formation from the pure elements is 1.04 eV per formula unit.

Cell: 5.8747 3.5837 18.9527 Å, 90.00 93.02 90.00°
With the nearest neighbours (Å) after each atom.
Atoms (fractional coordinates):
Tb  0.0000  0.0000  0.0000  4 Tb 3.35-3.58, 4 Nd 3.44
Tb  0.1916  0.5000  0.1765  6 Tb 3.48-3.58, 2 Y 3.67-3.68, 1 Nd 3.89
Tb  0.2569  0.5000  0.5369  1 Y 3.22, 4 Tb 3.25-3.58
Tb  0.3104  0.0000  0.8567  7 Tb 3.35-3.58, 2 Y 3.35, 2 Nd 3.39
Tb  0.6896  0.0000  0.1433  7 Tb 3.35-3.58, 2 Y 3.35, 2 Nd 3.39
Tb  0.7431  0.5000  0.4631  1 Y 3.22, 4 Tb 3.25-3.58
Tb  0.8084  0.5000  0.8235  6 Tb 3.48-3.58, 2 Y 3.67-3.68, 1 Nd 3.89
Nd  0.2213  0.0000  0.3673  2 Nd 3.58, 6 Tb 3.68-3.91, 4 Y 3.71-3.72
Nd  0.5000  0.5000  0.0000  8 Tb 3.39-3.44, 2 Nd 3.58
Nd  0.7787  0.0000  0.6327  2 Nd 3.58, 6 Tb 3.68-3.91, 4 Y 3.71-3.72
Y  0.2895  0.5000  0.7069  3 Tb 3.22-3.35, 2 Y 3.58
Y  0.7105  0.5000  0.2931  3 Tb 3.22-3.35, 2 Y 3.58